# 1
Entry from Alexandria: a relaxed Ac3In4Ag2 crystal (GGA-PBE).

Cell lengths 6.5042, 6.5042, 9.6332 Å; angles 111.43, 111.43, 45.55 degrees
Atoms (fractional coordinates):
1 Ac 0.0000 0.0000 0.0000
2 Ac 0.3236 0.3236 0.3505
3 Ac 0.6764 0.6764 0.6495
4 In 0.0275 0.0275 0.3615
5 In 0.2607 0.2607 0.9189
6 In 0.7393 0.7393 0.0811
7 In 0.9725 0.9725 0.6385
8 Ag 0.4031 0.4031 0.7321
9 Ag 0.5969 0.5969 0.2679

Results
Calculated formation energy = -0.44 eV per atom
DOS(E_F) = 0.552 states/eV/atom
Final energy = -3.662 eV/atom

***

# 2
Entry from Alexandria: a relaxed Ac2In3Ag crystal (GGA-PBE).

Cell lengths 11.7460, 5.0953, 8.1646 Å; angles 90.00, 133.09, 90.00 degrees
Atoms (fractional coordinates):
1 Ac 0.0000 0.0000 0.0000
2 Ac 0.0781 0.0000 0.5824
3 Ac 0.5000 0.5000 0.0000
4 Ac 0.5781 0.5000 0.5824
5 In 0.1914 0.5000 0.9864
6 In 0.2069 0.5000 0.4043
7 In 0.3760 0.0000 0.1868
8 In 0.6914 0.0000 0.9864
9 In 0.7069 0.0000 0.4043
10 In 0.8760 0.5000 0.1868
11 Ag 0.3673 0.0000 0.5639
12 Ag 0.8673 0.5000 0.5639

Results
Calculated formation energy = -0.45 eV per atom
DOS(E_F) = 0.517 states/eV/atom
Final energy = -3.663 eV/atom

***

# 3
Entry from Alexandria: a relaxed LiAc2InAg6 crystal (GGA-PBE).

Cell lengths 6.6391, 6.6774, 7.4232 Å; angles 89.67, 63.82, 60.31 degrees
Atoms (fractional coordinates):
1 Li 0.0000 0.0000 0.0000
2 Ac 0.4497 0.7731 0.3318
3 Ac 0.5503 0.2269 0.6682
4 In 0.0000 0.5000 0.5000
5 Ag 0.0879 0.2349 0.1574
6 Ag 0.0958 0.6657 0.1470
7 Ag 0.4792 0.7630 0.8399
8 Ag 0.5208 0.2370 0.1601
9 Ag 0.9042 0.3343 0.8530
10 Ag 0.9121 0.7651 0.8426

Results
Calculated formation energy = -0.12 eV per atom
DOS(E_F) = 0.621 states/eV/atom
Final energy = -3.120 eV/atom